Entry from Alexandria via LeMat-Bulk: crystalline TaSb2As at its relaxed geometry (PBE-GGA).

Geometry as POSCAR:
```
TaSb2As
1.0
3.532 0.000 0.000
0.000 3.532 0.000
0.000 0.000 6.939
Ta Sb As
1 2 1
direct
0.500 0.500 0.250
0.000 0.000 0.476
0.000 0.000 0.024
0.500 0.500 0.750
```

## Properties
E_form (uncorrected) in kcal/mol of atoms: 5.29
Symmetry: P4/mmm (123)

***

Entry from Alexandria via LeMat-Bulk: crystalline ThZrPd14 at its relaxed geometry (PBE-GGA).

Geometry as POSCAR:
```
ThZrPd14
1.0
-0.878 5.320 -2.161
-4.985 -1.791 -2.383
-3.848 2.019 6.532
Pd Th Zr
14 1 1
direct
0.875 0.375 0.500
0.629 0.629 0.245
0.121 0.121 0.755
0.629 0.121 0.245
0.375 0.875 0.000
0.875 0.875 0.000
0.121 0.121 0.245
0.375 0.875 0.500
0.875 0.375 0.000
0.121 0.629 0.245
0.375 0.375 0.000
0.629 0.629 0.755
0.629 0.121 0.755
0.121 0.629 0.755
0.375 0.375 0.500
0.875 0.875 0.500
```

## Properties
Energy in eV per atom: -5.99
Symmetry: P4/mmm (123)

***

Entry from Alexandria via LeMat-Bulk: crystalline K3Cd9Ga2 at its relaxed geometry (PBE-GGA).

Geometry as POSCAR:
```
K3Cd9Ga2
1.0
4.973 0.000 1.336
1.827 8.563 3.121
0.174 0.533 9.278
Ga Cd K
2 9 3
direct
0.500 0.675 0.325
0.500 0.325 0.675
0.863 0.846 0.428
0.000 0.500 0.500
0.343 0.012 0.303
0.657 0.988 0.697
0.343 0.303 0.012
0.137 0.154 0.572
0.657 0.697 0.988
0.137 0.572 0.154
0.863 0.428 0.846
0.294 0.706 0.706
0.000 0.000 0.000
0.706 0.294 0.294
```

## Properties
Energy in eV per atom: -1.31
Symmetry: Immm (71)

***

Entry from Alexandria via LeMat-Bulk: crystalline Pr3BiI3 at its relaxed geometry (PBE-GGA).

Geometry as POSCAR:
```
Pr3BiI3
1.0
-2.430 -6.395 3.562
-3.835 -5.398 -3.956
7.951 -9.178 -2.704
I Pr Bi
6 6 2
direct
0.231 0.891 0.327
0.449 0.769 0.673
0.551 0.231 0.327
0.891 0.551 0.327
0.109 0.449 0.673
0.769 0.109 0.673
0.051 0.726 0.847
0.726 0.376 0.847
0.624 0.949 0.153
0.949 0.274 0.153
0.274 0.624 0.153
0.376 0.051 0.847
0.333 0.333 0.000
0.667 0.667 0.000
```

## Properties
E_form (uncorrected) in kcal/mol of atoms: -24.81
Symmetry: R-3 (148)

***

Entry from Alexandria via LeMat-Bulk: crystalline YGeAu4 at its relaxed geometry (PBE-GGA).

Geometry as POSCAR:
```
YGeAu4
1.0
5.588 0.000 0.000
2.794 4.839 0.000
2.794 1.613 4.562
Au Y Ge
4 1 1
direct
0.625 0.625 0.625
0.125 0.625 0.625
0.625 0.125 0.625
0.625 0.625 0.125
0.250 0.250 0.250
0.000 0.000 0.000
```

## Properties
Energy in eV per atom: -4.34
Symmetry: F-43m (216)

***

Entry from Alexandria via LeMat-Bulk: crystalline Tb3EuS at its relaxed geometry (PBE-GGA).

Geometry as POSCAR:
```
Tb3EuS
1.0
-3.560 -1.305 3.838
2.787 -4.496 1.057
2.943 2.680 3.641
Eu Tb S
1 3 1
direct
0.500 0.500 0.500
0.000 0.000 0.500
0.500 0.000 0.000
0.000 0.500 0.000
0.000 0.000 0.000
```

## Properties
E_form (uncorrected) in kcal/mol of atoms: -14.43
Symmetry: Pm-3m (221)

***

Entry from Alexandria via LeMat-Bulk: crystalline Ba13Tl2 at its relaxed geometry (PBE-GGA).

Geometry as POSCAR:
```
Ba13Tl2
1.0
-5.872 -2.568 5.239
8.357 -3.116 4.976
-3.056 10.849 1.783
Ba Tl
13 2
direct
0.016 0.428 0.634
0.164 0.995 0.652
0.305 0.906 0.252
0.766 0.588 0.000
0.000 0.000 0.000
0.428 0.772 0.850
0.499 0.655 0.424
0.984 0.572 0.366
0.572 0.228 0.150
0.836 0.005 0.348
0.695 0.094 0.748
0.234 0.412 0.000
0.501 0.345 0.576
0.810 0.728 0.678
0.190 0.272 0.322
```

## Properties
Energy in eV per atom: -2.06
Symmetry: P-1 (2)